Li3YNi2O6 | GGA+U | relaxed

Crystal system   monoclinic
SG   C2/m, No. 12
Offset from the most stable computed form   9 meV per atom

Cell: 5.3111 5.3111 5.2198 Å, 98.48 98.48 120.80°
Atoms (fractional coordinates):
Li1 0.0000 0.0000 0.0000
Li2 0.3085 0.6915 0.0000
Li3 0.6915 0.3085 0.0000
Y1 0.5000 0.5000 0.5000
Ni1 0.1660 0.8340 0.5000
Ni2 0.8340 0.1660 0.5000
O1 0.0629 0.4259 0.2693
O2 0.2055 0.2055 0.7364
O3 0.4259 0.0629 0.2693
O4 0.5741 0.9371 0.7307
O5 0.7945 0.7945 0.2636
O6 0.9371 0.5741 0.7307